Entry 1
# PBE-GGA Li2HgBiH, relaxed
# * crystal system: tetragonal
data_Li2HgBiH
_chemical_formula_sum 'Li2 Hg1 Bi1 H1'
_symmetry_space_group_name_H-M 'P 4/m m m'
_symmetry_Int_Tables_number 123
_symmetry_space_group_name_Hall '-P 4 2'
_cell_length_a 4.4817
_cell_length_b 4.4817
_cell_length_c 4.3495
_cell_angle_alpha 90.00
_cell_angle_beta 90.00
_cell_angle_gamma 90.00
loop_
_atom_site_label
_atom_site_type_symbol
_atom_site_fract_x
_atom_site_fract_y
_atom_site_fract_z
Li1 Li 0.0000 0.5000 0.0000
Hg1 Hg 0.0000 0.0000 0.5000
Bi1 Bi 0.5000 0.5000 0.5000
H1 H 0.0000 0.0000 0.0000

Entry 2
# PBE-GGA Li2HgBiH, relaxed
# * crystal system: tetragonal
data_Li2HgBiH
_chemical_formula_sum 'Li2 Hg1 Bi1 H1'
_symmetry_space_group_name_H-M 'P 4/m m m'
_symmetry_Int_Tables_number 123
_symmetry_space_group_name_Hall '-P 4 2'
_cell_length_a 4.5235
_cell_length_b 4.5235
_cell_length_c 4.4292
_cell_angle_alpha 90.00
_cell_angle_beta 90.00
_cell_angle_gamma 90.00
loop_
_atom_site_label
_atom_site_type_symbol
_atom_site_fract_x
_atom_site_fract_y
_atom_site_fract_z
Li1 Li 0.0000 0.5000 0.0000
Hg1 Hg 0.0000 0.0000 0.5000
Bi1 Bi 0.5000 0.5000 0.5000
H1 H 0.5000 0.5000 0.0000

The computed energies, referenced to the most stable structure and given in kJ/mol of atoms, are entry 1 0.0; entry 2 6.9.

Entry 1
# PBE-GGA Ho2BiH, relaxed
# * crystal system: monoclinic
data_Ho2BiH
_chemical_formula_sum 'Ho8 Bi4 H4'
_symmetry_space_group_name_H-M 'P 1 21/c 1'
_symmetry_Int_Tables_number 14
_cell_length_a 7.6342
_cell_length_b 6.3501
_cell_length_c 7.6244
_cell_angle_alpha 90.00
_cell_angle_beta 99.45
_cell_angle_gamma 90.00
loop_
_symmetry_equiv_pos_as_xyz
'x,y,z'
'-x,-y,-z'
'-x,y+1/2,-z+1/2'
'x,-y+1/2,z+1/2'
loop_
_atom_site_label
_atom_site_type_symbol
_atom_site_fract_x
_atom_site_fract_y
_atom_site_fract_z
Ho1 Ho 0.0461 0.1281 0.3187
Ho2 Ho 0.3183 0.6540 0.5156
Bi1 Bi 0.3419 0.1286 0.6626
H1 H 0.1887 0.6680 0.7634

Entry 2
# PBE-GGA Ho2BiH, relaxed
# * crystal system: trigonal
data_Ho2BiH
_chemical_formula_sum 'Ho6 Bi3 H3'
_symmetry_space_group_name_H-M 'R -3 m'
_symmetry_Int_Tables_number 166
_symmetry_space_group_name_Hall '-R 3 2"'
_cell_length_a 4.1215
_cell_length_b 4.1215
_cell_length_c 19.2936
_cell_angle_alpha 90.00
_cell_angle_beta 90.00
_cell_angle_gamma 120.00
loop_
_atom_site_label
_atom_site_type_symbol
_atom_site_fract_x
_atom_site_fract_y
_atom_site_fract_z
Ho1 Ho 0.0000 0.0000 0.2335
Bi1 Bi 0.0000 0.0000 0.0000
H1 H 0.0000 0.0000 0.5000

The computed energies, referenced to the most stable structure and given in kJ/mol of atoms, are entry 1 0.0; entry 2 23.7.

Entry 1
# PBE-GGA HoBiH, relaxed
# * crystal system: tetragonal
data_HoBiH
_chemical_formula_sum 'Ho2 Bi2 H2'
_symmetry_space_group_name_H-M 'I 4 m m'
_symmetry_Int_Tables_number 107
_symmetry_space_group_name_Hall 'I 4 -2'
_cell_length_a 3.3055
_cell_length_b 3.3055
_cell_length_c 11.5003
_cell_angle_alpha 90.00
_cell_angle_beta 90.00
_cell_angle_gamma 90.00
loop_
_atom_site_label
_atom_site_type_symbol
_atom_site_fract_x
_atom_site_fract_y
_atom_site_fract_z
Ho1 Ho 0.0000 0.0000 0.0000
Bi1 Bi 0.0000 0.0000 0.2825
H1 H 0.0000 0.0000 0.5462

Entry 2
# PBE-GGA HoBiH, relaxed
# * crystal system: hexagonal
data_HoBiH
_chemical_formula_sum 'Ho1 Bi1 H1'
_symmetry_space_group_name_H-M 'P -6 m 2'
_symmetry_Int_Tables_number 187
_symmetry_space_group_name_Hall 'P -6 2'
_cell_length_a 3.7835
_cell_length_b 3.7835
_cell_length_c 4.8344
_cell_angle_alpha 90.00
_cell_angle_beta 90.00
_cell_angle_gamma 120.00
loop_
_atom_site_label
_atom_site_type_symbol
_atom_site_fract_x
_atom_site_fract_y
_atom_site_fract_z
Ho1 Ho 0.0000 0.0000 0.0000
Bi1 Bi 0.6667 0.3333 0.5000
H1 H 0.3333 0.6667 0.0000

The computed energies, referenced to the most stable structure and given in kJ/mol of atoms, are entry 1 25.9; entry 2 0.0.

Entry 1
# PBE-GGA HoBiH, relaxed
# * crystal system: triclinic
data_HoBiH
_chemical_formula_sum 'Ho2 Bi2 H2'
_symmetry_space_group_name_H-M 'P -1'
_symmetry_Int_Tables_number 2
_cell_length_a 3.9902
_cell_length_b 6.1728
_cell_length_c 6.2398
_cell_angle_alpha 103.98
_cell_angle_beta 108.54
_cell_angle_gamma 108.82
loop_
_symmetry_equiv_pos_as_xyz
'x,y,z'
'-x,-y,-z'
loop_
_atom_site_label
_atom_site_type_symbol
_atom_site_fract_x
_atom_site_fract_y
_atom_site_fract_z
Ho1 Ho 0.0425 0.2471 0.3375
Bi1 Bi 0.2479 0.7718 0.2248
H1 H 0.3714 0.5910 0.6514

Entry 2
# PBE-GGA HoBiH, relaxed
# * crystal system: orthorhombic
data_HoBiH
_chemical_formula_sum 'Ho4 Bi4 H4'
_symmetry_space_group_name_H-M 'P n m a'
_symmetry_Int_Tables_number 62
_cell_length_a 11.3641
_cell_length_b 3.5157
_cell_length_c 6.1546
_cell_angle_alpha 90.00
_cell_angle_beta 90.00
_cell_angle_gamma 90.00
loop_
_symmetry_equiv_pos_as_xyz
'x,y,z'
'-x,-y,-z'
'-x+1/2,-y,z+1/2'
'x+1/2,y,-z+1/2'
'x+1/2,-y+1/2,-z+1/2'
'-x+1/2,y+1/2,z+1/2'
'-x,y+1/2,-z'
'x,-y+1/2,z'
loop_
_atom_site_label
_atom_site_type_symbol
_atom_site_fract_x
_atom_site_fract_y
_atom_site_fract_z
Ho1 Ho 0.1930 0.2500 0.2367
Bi1 Bi 0.0599 0.2500 0.7470
H1 H 0.2014 0.7500 0.4300

The computed energies, referenced to the most stable structure and given in kJ/mol of atoms, are entry 1 0.0; entry 2 15.2.

Entry 1
# PBE-GGA Ho3BiH, relaxed
# * crystal system: monoclinic
data_Ho3BiH
_chemical_formula_sum 'Ho6 Bi2 H2'
_symmetry_space_group_name_H-M 'P 1 21/m 1'
_symmetry_Int_Tables_number 11
_cell_length_a 6.5692
_cell_length_b 3.9572
_cell_length_c 9.5545
_cell_angle_alpha 90.00
_cell_angle_beta 101.53
_cell_angle_gamma 90.00
loop_
_symmetry_equiv_pos_as_xyz
'x,y,z'
'-x,-y,-z'
'-x,y+1/2,-z'
'x,-y+1/2,z'
loop_
_atom_site_label
_atom_site_type_symbol
_atom_site_fract_x
_atom_site_fract_y
_atom_site_fract_z
Ho1 Ho 0.0914 0.2500 0.3804
Ho2 Ho 0.2397 0.2500 0.9056
Ho3 Ho 0.4072 0.7500 0.6432
Bi1 Bi 0.2746 0.7500 0.1624
H1 H 0.1818 0.2500 0.6486

Entry 2
# PBE-GGA Ho3BiH, relaxed
# * crystal system: cubic
data_Ho3BiH
_chemical_formula_sum 'Ho3 Bi1 H1'
_symmetry_space_group_name_H-M 'P m -3 m'
_symmetry_Int_Tables_number 221
_symmetry_space_group_name_Hall '-P 4 2 3'
_cell_length_a 4.8278
_cell_length_b 4.8278
_cell_length_c 4.8278
_cell_angle_alpha 90.00
_cell_angle_beta 90.00
_cell_angle_gamma 90.00
loop_
_atom_site_label
_atom_site_type_symbol
_atom_site_fract_x
_atom_site_fract_y
_atom_site_fract_z
Ho1 Ho 0.0000 0.0000 0.5000
Bi1 Bi 0.5000 0.5000 0.5000
H1 H 0.0000 0.0000 0.0000

The computed energies, referenced to the most stable structure and given in kJ/mol of atoms, are entry 1 0.0; entry 2 1.9.

Entry 1
# PBE-GGA Ho4Bi2H, relaxed
# * crystal system: tetragonal
data_Ho4Bi2H
_chemical_formula_sum 'Ho8 Bi4 H2'
_symmetry_space_group_name_H-M 'I 4/m m m'
_symmetry_Int_Tables_number 139
_symmetry_space_group_name_Hall '-I 4 2'
_cell_length_a 4.5064
_cell_length_b 4.5064
_cell_length_c 17.1533
_cell_angle_alpha 90.00
_cell_angle_beta 90.00
_cell_angle_gamma 90.00
loop_
_atom_site_label
_atom_site_type_symbol
_atom_site_fract_x
_atom_site_fract_y
_atom_site_fract_z
Ho1 Ho 0.0000 0.0000 0.1765
Ho2 Ho 0.0000 0.5000 0.0000
Bi1 Bi 0.0000 0.0000 0.3608
H1 H 0.0000 0.0000 0.0000

Entry 2
# PBE-GGA Ho4Bi2H, relaxed
# * crystal system: monoclinic
data_Ho4Bi2H
_chemical_formula_sum 'Ho8 Bi4 H2'
_symmetry_space_group_name_H-M 'P 1 21/m 1'
_symmetry_Int_Tables_number 11
_cell_length_a 6.3026
_cell_length_b 6.4484
_cell_length_c 9.1527
_cell_angle_alpha 90.00
_cell_angle_beta 107.84
_cell_angle_gamma 90.00
loop_
_symmetry_equiv_pos_as_xyz
'x,y,z'
'-x,-y,-z'
'-x,y+1/2,-z'
'x,-y+1/2,z'
loop_
_atom_site_label
_atom_site_type_symbol
_atom_site_fract_x
_atom_site_fract_y
_atom_site_fract_z
Ho1 Ho 0.0425 0.0015 0.3073
Ho2 Ho 0.3491 0.7500 0.0508
Ho3 Ho 0.4301 0.7500 0.6648
Bi1 Bi 0.1915 0.2500 0.0228
Bi2 Bi 0.3662 0.2500 0.6077
H1 H 0.1972 0.7500 0.7986

The computed energies, referenced to the most stable structure and given in kJ/mol of atoms, are entry 1 0.7; entry 2 0.0.

Entry 1
# PBE-GGA HoBiH2, relaxed
# * crystal system: trigonal
data_HoBiH2
_chemical_formula_sum 'Ho3 Bi3 H6'
_symmetry_space_group_name_H-M 'R -3 m'
_symmetry_Int_Tables_number 166
_symmetry_space_group_name_Hall '-R 3 2"'
_cell_length_a 3.6031
_cell_length_b 3.6031
_cell_length_c 17.4626
_cell_angle_alpha 90.00
_cell_angle_beta 90.00
_cell_angle_gamma 120.00
loop_
_atom_site_label
_atom_site_type_symbol
_atom_site_fract_x
_atom_site_fract_y
_atom_site_fract_z
Ho1 Ho 0.0000 0.0000 0.0000
Bi1 Bi 0.0000 0.0000 0.5000
H1 H 0.0000 0.0000 0.3066

Entry 2
# PBE-GGA HoBiH2, relaxed
# * crystal system: orthorhombic
data_HoBiH2
_chemical_formula_sum 'Ho4 Bi4 H8'
_symmetry_space_group_name_H-M 'C m c m'
_symmetry_Int_Tables_number 63
_symmetry_space_group_name_Hall '-C 2c 2'
_cell_length_a 3.5145
_cell_length_b 12.3248
_cell_length_c 6.2515
_cell_angle_alpha 90.00
_cell_angle_beta 90.00
_cell_angle_gamma 90.00
loop_
_atom_site_label
_atom_site_type_symbol
_atom_site_fract_x
_atom_site_fract_y
_atom_site_fract_z
Ho1 Ho 0.0000 0.2293 0.2500
Bi1 Bi 0.0000 0.0408 0.7500
H1 H 0.0000 0.3038 0.5600

The computed energies, referenced to the most stable structure and given in kJ/mol of atoms, are entry 1 5.9; entry 2 0.0.

Entry 1
# PBE-GGA Bi3HI, relaxed
# * crystal system: cubic
data_Bi3HI
_chemical_formula_sum 'Bi3 H1 I1'
_symmetry_space_group_name_H-M 'P m -3 m'
_symmetry_Int_Tables_number 221
_symmetry_space_group_name_Hall '-P 4 2 3'
_cell_length_a 5.0903
_cell_length_b 5.0903
_cell_length_c 5.0903
_cell_angle_alpha 90.00
_cell_angle_beta 90.00
_cell_angle_gamma 90.00
loop_
_atom_site_label
_atom_site_type_symbol
_atom_site_fract_x
_atom_site_fract_y
_atom_site_fract_z
Bi1 Bi 0.0000 0.0000 0.5000
H1 H 0.0000 0.0000 0.0000
I1 I 0.5000 0.5000 0.5000

Entry 2
# PBE-GGA Bi3HI, relaxed
# * crystal system: cubic
data_Bi3HI
_chemical_formula_sum 'Bi3 H1 I1'
_symmetry_space_group_name_H-M 'P m -3 m'
_symmetry_Int_Tables_number 221
_symmetry_space_group_name_Hall '-P 4 2 3'
_cell_length_a 6.0472
_cell_length_b 6.0472
_cell_length_c 6.0472
_cell_angle_alpha 90.00
_cell_angle_beta 90.00
_cell_angle_gamma 90.00
loop_
_atom_site_label
_atom_site_type_symbol
_atom_site_fract_x
_atom_site_fract_y
_atom_site_fract_z
Bi1 Bi 0.0000 0.0000 0.5000
H1 H 0.5000 0.5000 0.5000
I1 I 0.0000 0.0000 0.0000

The computed energies, referenced to the most stable structure and given in kJ/mol of atoms, are entry 1 0.0; entry 2 88.5.